A plane-wave DFT calculation with GGA-PBE was carried out for a relaxed structure of Tb2CeV.

Cell and atoms, written as POSCAR:
```
Tb2CeV
1.0
1.658 0.957 11.356
-1.658 0.957 11.356
0.000 -1.914 11.356
Tb Ce V
2 1 1
direct
0.082 0.082 0.082
0.918 0.918 0.918
0.500 0.500 0.500
0.000 0.000 0.000
```

D(E_F) (states/eV per atom): 1.637
Energy relative to the elements (eV/atom): 0.61
Total magnetization (μB/cell): 2.72